The following is a PBE-GGA calculation of crystalline Zn4Os3 at its relaxed geometry, from OQMD.

Results
Distance to the lowest polymorph of the same formula ... 53 meV/atom
Energy of formation from the pure elements ... 0.282 eV per atom
M_tot ... 0.6 μB per cell

Cell lengths 7.198, 7.199, 4.448 Å; angles 90.00, 90.00, 59.98 degrees
Site moments in Bohr magnetons follow the coordinates.
Positions (direct):
1 Zn 0.394 0.085 0.500  0.00
2 Zn 0.143 0.286 0.000  0.00
3 Os 0.244 0.821 0.500  0.09
4 Zn 0.558 0.154 0.000  0.00
5 Os 0.274 0.589 0.000  0.09
6 Os 0.506 0.387 0.500  0.09
7 Zn 0.011 0.002 0.000  0.00
8 Zn 0.942 0.236 0.500  0.00
9 Os 0.708 0.417 0.000  0.10
10 Os 0.446 0.851 0.000  0.10
11 Zn 0.810 0.952 0.500  0.00
12 Zn 0.093 0.537 0.500  0.00
13 Os 0.678 0.649 0.500  0.09
14 Zn 0.860 0.701 0.000  0.00

The following is a PBE-GGA calculation of crystalline MgAu2 at its relaxed geometry, from OQMD.

Results
E_tot ... -2.586 eV/atom

Cell lengths 5.780, 5.780, 4.161 Å; angles 90.00, 90.00, 90.00 degrees
Positions (direct):
1 Mg 0.000 0.000 0.000
2 Mg 0.500 0.500 0.500
3 Au 0.315 0.315 0.000
4 Au 0.685 0.685 0.000
5 Au 0.815 0.185 0.500
6 Au 0.185 0.815 0.500

The following is a PBE-GGA calculation of crystalline NdHo2Cd3AgAu2 at its relaxed geometry, from OQMD.

Results
Energy of formation from the pure elements ... -0.573 eV per atom
M_tot ... 0.0 μB per cell

Cell lengths 3.872, 7.910, 7.910 Å; angles 120.45, 90.00, 90.00 degrees
Positions (direct):
1 Cd 0.500 0.259 0.259
2 Ag 0.000 0.002 0.002
3 Nd 0.000 0.593 0.593
4 Au 0.500 0.668 0.328
5 Au 0.500 0.328 0.668
6 Cd 0.500 0.003 0.739
7 Ho 0.000 0.408 0.000
8 Cd 0.500 0.739 0.003
9 Ho 0.000 0.000 0.408

The following is a PBE-GGA calculation of crystalline PrBi2Au at its relaxed geometry, from OQMD.

Results
E_tot ... -4.631 eV/atom
M_tot ... 0.0 μB per cell

Cell lengths 4.681, 4.681, 10.109 Å; angles 90.00, 90.00, 90.00 degrees
Positions (direct):
1 Bi 0.500 0.000 0.188
2 Au 0.500 0.500 0.000
3 Au 0.000 0.000 0.000
4 Bi 0.000 0.500 0.812
5 Bi 0.000 0.000 0.500
6 Pr 0.500 0.000 0.764
7 Bi 0.500 0.500 0.500
8 Pr 0.000 0.500 0.236

Calculated calculated volume, 199.6 139.0 208.9 221.6 Å³ per cell (same order as the records).